The following is a DFT calculation (GGA-PBE) of crystalline Y2NiAs at its relaxed geometry.

The calculation puts the energy relative to the elements at -0.74 eV/atom. Its crystal system is tetragonal.

The structure belongs to space group P4/mmm (No. 123); the cell edges are 4.066, 4.066 and 5.717 Å and the angles 90.00°, 90.00° and 90.00°. Symmetry generates all atoms from Y at (0.000, 0.000, 0.000), Y at (0.500, 0.500, 0.500), Ni at (0.000, 0.000, 0.500) and As at (0.500, 0.500, 0.000).